Record 1
# Er3BiO7, optimized geometry, DFT PBE-GGA
# total moment = 0.00 μB per formula unit
# SG = Cmcm
# crystal system = orthorhombic
# volume = 305.59 Å³ per cell
# VASP energy = -7.506 eV per atom
data_Er3BiO7
_chemical_formula_sum 'Er6 Bi2 O14'
_symmetry_space_group_name_H-M 'P 1'
_symmetry_Int_Tables_number 1
_symmetry_space_group_name_Hall 'P 1'
_cell_length_a 6.523
_cell_length_b 6.523
_cell_length_c 7.618
_cell_angle_alpha 90.00
_cell_angle_beta 90.00
_cell_angle_gamma 109.48
loop_
_atom_site_label
_atom_site_type_symbol
_atom_site_fract_x
_atom_site_fract_y
_atom_site_fract_z
Er1 Er 0.500 0.500 0.500
Er2 Er 0.500 0.500 0.000
Er3 Er 0.530 0.002 0.250
Er4 Er 0.470 0.998 0.750
Er5 Er 0.002 0.530 0.750
Er6 Er 0.998 0.470 0.250
Bi1 Bi 0.000 0.000 0.500
Bi2 Bi 0.000 0.000 0.000
O1 O 0.661 0.915 0.530
O2 O 0.339 0.085 0.030
O3 O 0.915 0.661 0.470
O4 O 0.085 0.339 0.970
O5 O 0.085 0.339 0.530
O6 O 0.915 0.661 0.030
O7 O 0.339 0.085 0.470
O8 O 0.661 0.915 0.970
O9 O 0.368 0.632 0.250
O10 O 0.632 0.368 0.750
O11 O 0.637 0.363 0.250
O12 O 0.363 0.637 0.750
O13 O 0.911 0.089 0.250
O14 O 0.089 0.911 0.750



Record 2
# MnSiIr3, optimized geometry, DFT PBE-GGA
# total moment = 0.00 μB per formula unit
# SG = Pm-3m
# crystal system = cubic
# volume = 88.84 Å³ per cell
# energy above the lowest structure with this stoichiometry = 82.59 kJ/mol of atoms
data_MnSiIr3
_chemical_formula_sum 'Mn1 Si1 Ir3'
_symmetry_space_group_name_H-M 'P 1'
_symmetry_Int_Tables_number 1
_symmetry_space_group_name_Hall 'P 1'
_cell_length_a 4.462
_cell_length_b 4.462
_cell_length_c 4.462
_cell_angle_alpha 90.00
_cell_angle_beta 90.00
_cell_angle_gamma 90.00
loop_
_atom_site_label
_atom_site_type_symbol
_atom_site_fract_x
_atom_site_fract_y
_atom_site_fract_z
Si1 Si 0.500 0.500 0.500
Ir1 Ir 0.000 0.500 0.000
Ir2 Ir 0.000 0.000 0.500
Ir3 Ir 0.500 0.000 0.000
Mn1 Mn 0.000 0.000 0.000



Record 3
# OsRuRh2, optimized geometry, DFT PBE-GGA
# formation energy = 0.095 eV/atom
# total moment = 0.00 μB per formula unit
# SG = R3m
# crystal system = trigonal
# volume = 56.86 Å³ per cell
# energy above the lowest structure with this stoichiometry = 4.53 kJ/mol of atoms
data_OsRuRh2
_chemical_formula_sum 'Os1 Ru1 Rh2'
_symmetry_space_group_name_H-M 'P 1'
_symmetry_Int_Tables_number 1
_symmetry_space_group_name_Hall 'P 1'
_cell_length_a 8.956
_cell_length_b 8.956
_cell_length_c 8.956
_cell_angle_alpha 17.53
_cell_angle_beta 17.53
_cell_angle_gamma 17.53
loop_
_atom_site_label
_atom_site_type_symbol
_atom_site_fract_x
_atom_site_fract_y
_atom_site_fract_z
Rh1 Rh 0.001 0.001 0.001
Rh2 Rh 0.249 0.249 0.249
Os1 Os 0.751 0.751 0.751
Ru1 Ru 0.499 0.499 0.499



Record 4
# ScMnW, optimized geometry, DFT PBE-GGA
# formation energy = -0.034 eV/atom
# total moment = 0.00 μB per formula unit
# SG = Imma
# crystal system = orthorhombic
# volume = 97.66 Å³ per cell
# energy above the lowest structure with this stoichiometry = 0.00 kJ/mol of atoms
data_ScMnW
_chemical_formula_sum 'Sc2 Mn2 W2'
_symmetry_space_group_name_H-M 'P 1'
_symmetry_Int_Tables_number 1
_symmetry_space_group_name_Hall 'P 1'
_cell_length_a 5.141
_cell_length_b 5.141
_cell_length_c 5.141
_cell_angle_alpha 87.98
_cell_angle_beta 60.16
_cell_angle_gamma 117.85
loop_
_atom_site_label
_atom_site_type_symbol
_atom_site_fract_x
_atom_site_fract_y
_atom_site_fract_z
Sc1 Sc 0.750 0.870 0.380
Sc2 Sc 0.250 0.130 0.620
W1 W 0.500 0.000 0.000
W2 W 0.000 0.500 0.000
Mn1 Mn 0.000 0.500 0.500
Mn2 Mn 0.500 0.500 0.000



Record 5
# Np3Co3Sb4, optimized geometry, DFT PBE-GGA
# total moment = 6.76 μB per formula unit
# SG = I-43d
# crystal system = cubic
# volume = 409.04 Å³ per cell
# VASP energy = -7.957 eV per atom
data_Np3Co3Sb4
_chemical_formula_sum 'Np6 Co6 Sb8'
_symmetry_space_group_name_H-M 'P 1'
_symmetry_Int_Tables_number 1
_symmetry_space_group_name_Hall 'P 1'
_cell_length_a 8.100
_cell_length_b 8.100
_cell_length_c 8.100
_cell_angle_alpha 109.47
_cell_angle_beta 109.47
_cell_angle_gamma 109.47
loop_
_atom_site_label
_atom_site_type_symbol
_atom_site_fract_x
_atom_site_fract_y
_atom_site_fract_z
Np1 Np 0.625 0.750 0.875
Np2 Np 0.875 0.250 0.625
Np3 Np 0.125 0.375 0.250
Np4 Np 0.375 0.125 0.750
Np5 Np 0.250 0.875 0.125
Np6 Np 0.750 0.625 0.375
Co1 Co 0.125 0.750 0.375
Co2 Co 0.375 0.250 0.125
Co3 Co 0.625 0.875 0.250
Co4 Co 0.875 0.625 0.750
Co5 Co 0.250 0.375 0.625
Co6 Co 0.750 0.125 0.875
Sb1 Sb 0.000 0.000 0.337
Sb2 Sb 0.500 0.337 0.500
Sb3 Sb 0.663 0.163 0.163
Sb4 Sb 0.000 0.000 0.837
Sb5 Sb 0.837 0.500 0.000
Sb6 Sb 0.500 0.837 0.500
Sb7 Sb 0.337 0.500 0.000
Sb8 Sb 0.163 0.663 0.663



Record 6
# UPb2Cl8, optimized geometry, DFT PBE-GGA
# total moment = 2.00 μB per formula unit
# SG = C2/m
# crystal system = monoclinic
# volume = 354.91 Å³ per cell
# VASP energy = -4.435 eV per atom
data_UPb2Cl8
_chemical_formula_sum 'U1 Pb2 Cl8'
_symmetry_space_group_name_H-M 'P 1'
_symmetry_Int_Tables_number 1
_symmetry_space_group_name_Hall 'P 1'
_cell_length_a 6.673
_cell_length_b 7.646
_cell_length_c 7.646
_cell_angle_alpha 74.15
_cell_angle_beta 105.02
_cell_angle_gamma 105.02
loop_
_atom_site_label
_atom_site_type_symbol
_atom_site_fract_x
_atom_site_fract_y
_atom_site_fract_z
U1 U 0.000 0.000 0.000
Pb1 Pb 0.439 0.659 0.659
Pb2 Pb 0.561 0.341 0.341
Cl1 Cl 0.255 0.337 0.948
Cl2 Cl 0.745 0.052 0.663
Cl3 Cl 0.237 0.873 0.873
Cl4 Cl 0.763 0.127 0.127
Cl5 Cl 0.255 0.948 0.337
Cl6 Cl 0.745 0.663 0.052
Cl7 Cl 0.776 0.578 0.578
Cl8 Cl 0.224 0.422 0.422



Record 7
# PmPr6Dy3, optimized geometry, DFT PBE-GGA
# formation energy = 0.137 eV/atom
# total moment = 0.00 μB per formula unit
# SG = Cmc2_1
# crystal system = orthorhombic
# volume = 694.30 Å³ per cell
# energy above the lowest structure with this stoichiometry = 1.37 kJ/mol of atoms
data_PmPr6Dy3
_chemical_formula_sum 'Pm2 Pr12 Dy6'
_symmetry_space_group_name_H-M 'P 1'
_symmetry_Int_Tables_number 1
_symmetry_space_group_name_Hall 'P 1'
_cell_length_a 6.446
_cell_length_b 11.191
_cell_length_c 11.191
_cell_angle_alpha 120.67
_cell_angle_beta 90.00
_cell_angle_gamma 90.00
loop_
_atom_site_label
_atom_site_type_symbol
_atom_site_fract_x
_atom_site_fract_y
_atom_site_fract_z
Pm1 Pm 0.109 0.193 0.807
Pm2 Pm 0.609 0.807 0.193
Pr1 Pr 0.051 0.709 0.629
Pr2 Pr 0.551 0.629 0.709
Pr3 Pr 0.372 0.525 0.942
Pr4 Pr 0.872 0.942 0.525
Pr5 Pr 0.368 0.965 0.035
Pr6 Pr 0.651 0.282 0.718
Pr7 Pr 0.151 0.718 0.282
Pr8 Pr 0.868 0.035 0.965
Pr9 Pr 0.372 0.058 0.475
Pr10 Pr 0.872 0.475 0.058
Pr11 Pr 0.051 0.371 0.291
Pr12 Pr 0.551 0.291 0.371
Dy1 Dy 0.462 0.943 0.710
Dy2 Dy 0.962 0.710 0.943
Dy3 Dy 0.089 0.383 0.617
Dy4 Dy 0.589 0.617 0.383
Dy5 Dy 0.962 0.057 0.290
Dy6 Dy 0.462 0.290 0.057



Record 8
# CaSiSb, optimized geometry, DFT PBE-GGA
# total moment = 0.00 μB per formula unit
# SG = F-43m
# crystal system = cubic
# volume = 85.61 Å³ per cell
# energy above the lowest structure with this stoichiometry = 13.76 kJ/mol of atoms
data_CaSiSb
_chemical_formula_sum 'Ca1 Si1 Sb1'
_symmetry_space_group_name_H-M 'P 1'
_symmetry_Int_Tables_number 1
_symmetry_space_group_name_Hall 'P 1'
_cell_length_a 4.947
_cell_length_b 4.947
_cell_length_c 4.947
_cell_angle_alpha 60.00
_cell_angle_beta 60.00
_cell_angle_gamma 60.00
loop_
_atom_site_label
_atom_site_type_symbol
_atom_site_fract_x
_atom_site_fract_y
_atom_site_fract_z
Ca1 Ca 0.000 0.000 0.000
Sb1 Sb 0.500 0.500 0.500
Si1 Si 0.750 0.750 0.750



Record 9
# Cs2NaTiO4, optimized geometry, DFT PBE-GGA
# total moment = 1.01 μB per formula unit
# SG = Fddd
# crystal system = orthorhombic
# volume = 392.79 Å³ per cell
# VASP energy = -5.689 eV per atom
data_Cs2NaTiO4
_chemical_formula_sum 'Cs4 Na2 Ti2 O8'
_symmetry_space_group_name_H-M 'P 1'
_symmetry_Int_Tables_number 1
_symmetry_space_group_name_Hall 'P 1'
_cell_length_a 5.642
_cell_length_b 6.991
_cell_length_c 11.243
_cell_angle_alpha 84.19
_cell_angle_beta 75.47
_cell_angle_gamma 66.20
loop_
_atom_site_label
_atom_site_type_symbol
_atom_site_fract_x
_atom_site_fract_y
_atom_site_fract_z
Cs1 Cs 0.175 0.000 0.649
Cs2 Cs 0.825 0.000 0.351
Cs3 Cs 0.575 0.500 0.851
Cs4 Cs 0.925 0.500 0.149
Na1 Na 0.750 0.500 0.500
Na2 Na 0.000 0.000 0.000
Ti1 Ti 0.250 0.500 0.500
Ti2 Ti 0.500 0.000 0.000
O1 O 0.341 0.831 0.090
O2 O 0.262 0.169 0.910
O3 O 0.828 0.831 0.910
O4 O 0.569 0.169 0.090
O5 O 0.409 0.669 0.410
O6 O 0.488 0.331 0.590
O7 O 0.922 0.669 0.590
O8 O 0.181 0.331 0.410



Record 10
# Ba2BeMo, optimized geometry, DFT PBE-GGA
# formation energy = 0.749 eV/atom
# total moment = 1.69 μB per formula unit
# SG = Amm2
# crystal system = orthorhombic
# volume = 129.61 Å³ per cell
data_Ba2BeMo
_chemical_formula_sum 'Ba2 Be1 Mo1'
_symmetry_space_group_name_H-M 'P 1'
_symmetry_Int_Tables_number 1
_symmetry_space_group_name_Hall 'P 1'
_cell_length_a 4.287
_cell_length_b 4.916
_cell_length_c 6.624
_cell_angle_alpha 68.18
_cell_angle_beta 90.00
_cell_angle_gamma 90.00
loop_
_atom_site_label
_atom_site_type_symbol
_atom_site_fract_x
_atom_site_fract_y
_atom_site_fract_z
Be1 Be 0.000 0.669 0.538
Mo1 Mo 0.500 0.589 0.697
Ba1 Ba 0.000 0.979 0.916
Ba2 Ba 0.500 0.263 0.349



Record 11
# Er2MgIr, optimized geometry, DFT PBE-GGA
# formation energy = -0.530 eV/atom
# total moment = 0.00 μB per formula unit
# SG = P4/mmm
# crystal system = tetragonal
# volume = 93.21 Å³ per cell
data_Er2MgIr
_chemical_formula_sum 'Er2 Mg1 Ir1'
_symmetry_space_group_name_H-M 'P 1'
_symmetry_Int_Tables_number 1
_symmetry_space_group_name_Hall 'P 1'
_cell_length_a 3.514
_cell_length_b 3.514
_cell_length_c 7.549
_cell_angle_alpha 90.00
_cell_angle_beta 90.00
_cell_angle_gamma 90.00
loop_
_atom_site_label
_atom_site_type_symbol
_atom_site_fract_x
_atom_site_fract_y
_atom_site_fract_z
Mg1 Mg 0.500 0.500 0.500
Ir1 Ir 0.500 0.500 0.000
Er1 Er 0.000 0.000 0.790
Er2 Er 0.000 0.000 0.210



Record 12
# ScRh, optimized geometry, DFT PBE-GGA
# formation energy = -0.293 eV/atom
# total moment = 0.00 μB per formula unit
# SG = P-3m1
# crystal system = trigonal
# volume = 75.76 Å³ per cell
data_ScRh
_chemical_formula_sum 'Sc2 Rh2'
_symmetry_space_group_name_H-M 'P 1'
_symmetry_Int_Tables_number 1
_symmetry_space_group_name_Hall 'P 1'
_cell_length_a 3.167
_cell_length_b 3.167
_cell_length_c 8.724
_cell_angle_alpha 90.00
_cell_angle_beta 90.00
_cell_angle_gamma 120.00
loop_
_atom_site_label
_atom_site_type_symbol
_atom_site_fract_x
_atom_site_fract_y
_atom_site_fract_z
Rh1 Rh 0.000 0.000 0.001
Rh2 Rh 0.333 0.667 0.249
Sc1 Sc 0.000 0.000 0.457
Sc2 Sc 0.333 0.667 0.793